1.
Here is a relaxed structure of Ba2Li12Ag3Hg from Alexandria via LeMat-Bulk. Energies are from GGA-PBE.

Structure (POSCAR):
```
Ba2Li12Ag3Hg
1.0
7.2347 -1.6327 -1.1581
2.1532 7.0973 -1.1581
2.1532 1.2533 7.0811
Hg Li Ag Ba
1 12 3 2
direct
0.0000 0.0000 0.0000 Hg
0.1560 0.5848 0.5848 Li
0.5848 0.1560 0.5848 Li
0.8440 0.4152 0.4152 Li
0.2689 0.8149 0.8149 Li
0.5848 0.5848 0.1560 Li
0.4152 0.4152 0.8440 Li
0.1851 0.1851 0.7311 Li
0.8149 0.8149 0.2689 Li
0.8149 0.2689 0.8149 Li
0.1851 0.7311 0.1851 Li
0.4152 0.8440 0.4152 Li
0.7311 0.1851 0.1851 Li
0.5000 0.0000 0.0000 Ag
0.0000 0.0000 0.5000 Ag
0.0000 0.5000 0.0000 Ag
0.2537 0.2537 0.2537 Ba
0.7463 0.7463 0.7463 Ba
```

Values from the calculation:
Raw total energy = -2.024 eV per atom
Crystal system = trigonal
Energy of formation = -74 kJ/mol of formula units
Symmetry = R-3m
Calculated volume = 417.6 Å³/cell

***

2.
Here is a relaxed structure of Zr2CI2 from Alexandria via LeMat-Bulk. Energies are from GGA-PBE.

Structure (POSCAR):
```
Zr2CI2
1.0
3.5756 0.0000 0.6676
1.7387 3.1386 0.5966
-0.3066 -0.1988 11.5517
I Zr C
2 2 1
direct
0.5576 0.0959 0.7889 I
0.4424 0.9041 0.2111 I
0.2951 0.8086 0.6013 Zr
0.7049 0.1914 0.3987 Zr
0.0000 0.5000 0.5000 C
```

Values from the calculation:
Raw total energy = -6.765 eV per atom
Crystal system = monoclinic
E_form (uncorrected) = -0.881 eV/atom
Symmetry = C2/m
Calculated volume = 130.5 Å³/cell

***

3.
Here is a relaxed structure of BeHgCl from Alexandria via LeMat-Bulk. Energies are from GGA-PBE.

Structure (POSCAR):
```
BeHgCl
1.0
8.2280 0.0643 -0.0339
7.0386 3.3245 0.0225
1.1894 -1.7942 2.7227
Hg Cl Be
1 1 1
direct
0.3836 0.3836 0.6164 Hg
0.6020 0.6020 0.3980 Cl
0.0144 0.0144 0.9856 Be
```

Values from the calculation:
Raw total energy = -2.111 eV per atom
Crystal system = orthorhombic
E_form (uncorrected) = -0.153 eV/atom
Symmetry = Fmm2
Calculated volume = 74.1 Å³/cell

***

4.
Here is a relaxed structure of Ho2ErNpSb4 from Alexandria via LeMat-Bulk. Energies are from GGA-PBE.

Structure (POSCAR):
```
Ho2ErNpSb4
1.0
-3.9856 0.2431 1.7757
-2.4658 -5.3061 -4.8084
2.5986 -3.3305 6.2885
Ho Sb Er Np
2 4 1 1
direct
0.5000 0.0000 0.5000 Ho
0.0000 0.5000 0.5000 Ho
0.5000 0.7479 0.7487 Sb
0.0000 0.7490 0.2495 Sb
0.5000 0.2521 0.2513 Sb
0.0000 0.2510 0.7505 Sb
0.5000 0.5000 0.0000 Er
0.0000 0.0000 0.0000 Np
```

Values from the calculation:
Raw total energy = -6.263 eV per atom
Crystal system = monoclinic
E_form (uncorrected) = -0.870 eV/atom
Symmetry = P2/m
Calculated volume = 236.6 Å³/cell

***

Question: raw total energy of number 1 (Ba2Li12Ag3Hg)?
Answer: -2.024 eV per atom